No. 1
KLa2Se after structural relaxation. Source: Alexandria via LeMat-Bulk, functional PBE.

Structure (POSCAR):
```
KLa2Se
1.0
4.188 0.000 0.000
0.000 4.099 0.000
-2.082 0.000 9.549
K La Se
1 2 1
direct
0.000 0.000 0.000
0.318 0.500 0.636
0.696 0.000 0.390
0.159 0.500 0.315
```

Calculated values
The raw total energy comes out at -4.3589 eV/atom. The calculation puts the magnetic moment at 0.245 μB/cell. Its formation energy without anion corrections is -0.7497 eV per atom. For the density of states at the Fermi level, the calculation gives 1.42 states/eV per atom.


No. 2
KLaSe2 after structural relaxation. Source: Alexandria via LeMat-Bulk, functional PBE.

Structure (POSCAR):
```
KLaSe2
1.0
4.416 0.000 0.000
-2.208 3.824 0.000
0.000 0.000 23.643
K La Se
3 3 6
direct
0.000 0.000 0.000
0.333 0.667 0.667
0.667 0.333 0.333
0.000 0.000 0.170
0.333 0.667 0.837
0.667 0.333 0.504
0.000 0.000 0.573
0.000 0.000 0.767
0.333 0.667 0.240
0.333 0.667 0.434
0.667 0.333 0.100
0.667 0.333 0.907
```

Calculated values
The raw total energy comes out at -5.0504 eV/atom. The calculation puts the magnetic moment at 0.000 μB/cell. Its formation energy without anion corrections is -1.8019 eV per atom. For the density of states at the Fermi level, the calculation gives 0.00 states/eV per atom.


No. 3
KLa2Se after structural relaxation. Source: Alexandria via LeMat-Bulk, functional PBE.

Structure (POSCAR):
```
KLa2Se
1.0
4.102 0.000 0.000
-2.051 3.553 0.000
0.000 0.000 32.831
K La Se
3 6 3
direct
0.000 0.000 0.000
0.333 0.667 0.667
0.667 0.333 0.333
0.000 0.000 0.544
0.000 0.000 0.787
0.333 0.667 0.211
0.333 0.667 0.453
0.667 0.333 0.120
0.667 0.333 0.878
0.000 0.000 0.266
0.333 0.667 0.932
0.667 0.333 0.599
```

Calculated values
The raw total energy comes out at -4.2915 eV/atom. The calculation puts the magnetic moment at 2.977 μB/cell. Its formation energy without anion corrections is -0.6822 eV per atom. For the density of states at the Fermi level, the calculation gives 0.37 states/eV per atom.


What is the formula in the third record? KLa2Se